Record 1
# Cs2MgO

A relaxed Cs2MgO crystal (PBE, Alexandria).

abc: 5.8060 5.8060 5.8060
angles: 60.00 60.00 60.00
Last column: nearest neighbours and their distance in Å.
Fractional positions:
Cs: 0.2500 0.2500 0.2500  4 O 3.56, 4 Mg 3.56
Cs: 0.7500 0.7500 0.7500  4 O 3.56, 4 Mg 3.56
Mg: 0.5000 0.5000 0.5000  8 Cs 3.56
O: 0.0000 0.0000 0.0000  8 Cs 3.56

Space-group type: Fm-3m (225)
Calculated total energy in eV per atom: -2.125

---

Record 2
# CsMgO2

A relaxed CsMgO2 crystal (PBE, Alexandria).

abc: 7.6369 7.6369 7.6369
angles: 33.04 33.04 33.04
Last column: nearest neighbours and their distance in Å.
Fractional positions:
Cs: 0.5000 0.5000 0.5000  6 O 3.06
Mg: 0.0000 0.0000 0.0000  2 O 1.85
O: 0.9145 0.9145 0.9145  1 Mg 1.85
O: 0.0855 0.0855 0.0855  1 Mg 1.85

Space-group type: R-3m (166)
Calculated total energy in eV per atom: -3.997

---

Record 3
# Cs3MgO

A relaxed Cs3MgO crystal (PBE, Alexandria).

abc: 6.1061 6.1061 6.1061
angles: 90.00 90.00 90.00
Last column: nearest neighbours and their distance in Å.
Fractional positions:
Cs: 0.0000 0.5000 0.0000  2 O 3.05
Cs: 0.0000 0.0000 0.5000  2 O 3.05
Cs: 0.5000 0.0000 0.0000  2 O 3.05
Mg: 0.5000 0.5000 0.5000  12 Cs 4.32
O: 0.0000 0.0000 0.0000  6 Cs 3.05

Energy relative to the lowest polymorph listed for this composition in meV/atom: 0
Space-group type: Pm-3m (221)
Calculated total energy in eV per atom: -2.160

---

Record 4
# CsMgO2

A relaxed CsMgO2 crystal (PBE, Alexandria).

abc: 7.1569 7.1569 7.1569
angles: 27.32 27.32 27.32
Last column: nearest neighbours and their distance in Å.
Fractional positions:
Cs: 0.0000 0.0000 0.0000  2 O 2.46
Mg: 0.5000 0.5000 0.5000  6 O 2.18
O: 0.8807 0.8807 0.8807  3 Mg 2.18
O: 0.1193 0.1193 0.1193  3 Mg 2.18

Space-group type: R-3m (166)
Calculated total energy in eV per atom: -4.305

---

Which raw formation energy belongs to each record? In order, -0.060, -0.906, -0.337, -1.214 eV/atom.